[1]
Here is PrPuHfO6 after structural relaxation from the Alexandria database. Energies are from PBE-GGA.

Cell and atoms, written as POSCAR:
```
PrPuHfO6
1.0
5.629 0.000 0.000
-2.815 4.875 0.000
0.000 0.000 10.034
Pr Pu Hf O
2 2 2 12
direct
0.000 0.000 0.000
0.000 0.000 0.500
0.333 0.667 0.250
0.667 0.333 0.750
0.333 0.667 0.750
0.667 0.333 0.250
0.006 0.361 0.640
0.006 0.645 0.860
0.355 0.361 0.860
0.355 0.994 0.640
0.361 0.006 0.140
0.361 0.355 0.360
0.639 0.645 0.640
0.639 0.994 0.860
0.645 0.006 0.360
0.645 0.639 0.140
0.994 0.355 0.140
0.994 0.639 0.360
```

Output
Space group = P-31c
Final energy = -9.70 eV per atom
Density of states at the Fermi level = 1.13 states/eV/atom

[2]
Here is PrHfS2O after structural relaxation from the Alexandria database. Energies are from PBE-GGA.

Cell and atoms, written as POSCAR:
```
PrHfS2O
1.0
3.812 0.000 0.000
0.000 3.812 0.000
0.000 0.000 13.384
Pr Hf S O
2 2 4 2
direct
0.250 0.250 0.098
0.750 0.750 0.902
0.250 0.250 0.601
0.750 0.750 0.399
0.250 0.250 0.401
0.250 0.250 0.781
0.750 0.750 0.219
0.750 0.750 0.599
0.250 0.750 0.000
0.750 0.250 0.000
```

Output
Space group = P4/nmm
Final energy = -7.72 eV per atom
Density of states at the Fermi level = 0.29 states/eV/atom

no.,formation energy without anion corrections (eV/atom),calculated density (g cm⁻³)
1,-3.161,8.0
2,-2.134,6.8